The following is a DFT calculation (GGA-PBE) of RbAlGe after structural relaxation.

abc: 12.9285 8.0887 6.4337
angles: 90.00 151.24 90.00
Element x y z (fractional)
Rb1 0.0978 0.7927 0.2995
Rb2 0.4022 0.2927 0.2005
Rb3 0.5978 0.7073 0.7995
Rb4 0.9022 0.2073 0.7005
Ge1 0.8152 0.0837 0.0767
Ge2 0.3152 0.4163 0.5767
Ge3 0.1848 0.9163 0.9233
Ge4 0.6848 0.5837 0.4233
Al1 0.0472 0.5886 0.7792
Al2 0.9528 0.4114 0.2208
Al3 0.5472 0.9114 0.2792
Al4 0.4528 0.0886 0.7208

Computed properties:
* formation energy from the elements: 0.21 eV per atom
* DOS(E_F): 0.0 states/eV per cell